KNpWN3: optimized geometry, PBE.

abc: 6.9604 6.9604 7.6929
angles: 102.80 102.80 32.32
Closest atoms and distances in Å follow each position.
Fractional coordinates of all 12 atoms:
K  0.1413  0.1413  0.0616  5 N 2.81-3.09
K  0.8587  0.8587  0.9384  5 N 2.81-3.09
Np  0.1622  0.1622  0.5856  5 N 2.19-2.45
Np  0.8378  0.8378  0.4144  5 N 2.19-2.45
W  0.4950  0.4950  0.6613  4 N 1.95-2.17
W  0.5050  0.5050  0.3387  4 N 1.95-2.17
N  0.0090  0.0090  0.3101  2 W 1.95
N  0.3286  0.3286  0.6058  1 W 2.17, 1 Np 2.19
N  0.3489  0.3489  0.2456  1 W 2.05
N  0.6511  0.6511  0.7544  1 W 2.05
N  0.6714  0.6714  0.3942  1 W 2.17, 1 Np 2.19
N  0.9910  0.9910  0.6899  2 W 1.95

Computed properties:
Formation energy (no corrections): -0.6039 eV/atom
Magnetic moment: 2.198 μB/f.u.
DFT total energy: -9.27 eV per atom
Space-group type: C2/m

=====

SrTePbN2: optimized geometry, PBE.

abc: 4.8396 4.8396 6.5127
angles: 90.00 90.00 90.00
Closest atoms and distances in Å follow each position.
Fractional coordinates of all 5 atoms:
Sr  0.0000  0.0000  0.0000  4 N 2.42
Te  0.0000  0.0000  0.5000  2 Sr 3.26, 4 Pb 3.42
Pb  0.5000  0.5000  0.5000  4 Te 3.42
N  0.0000  0.5000  0.0000  2 Sr 2.42
N  0.5000  0.0000  0.0000  2 Sr 2.42

Computed properties:
Formation energy (no corrections): 1.2615 eV/atom
Magnetic moment: 0.299 μB/f.u.
DFT total energy: -3.78 eV per atom
Space-group type: P4/mmm
E above lowest polymorph: 0.4824 eV/atom